Entry 1:
Computed, not measured: Y2MnTcAg after structural relaxation at the GGA-PBE level of DFT.

It has space group P4/mmm (No. 123), with a = 5.241 Å, b = 5.241 Å, c = 4.288 Å, α = 90.00°, β = 90.00° and γ = 90.00°. The asymmetric unit holds Y at (0.000, 0.500, 0.000), Mn at (0.000, 0.000, 0.000), Tc at (0.000, 0.000, 0.500) and Ag at (0.500, 0.500, 0.500).

Its volume is 23.56 Å³ per atom. The calculation puts the formation energy at 2.0 eV/f.u. Its total energy is -33.353 eV per formula unit. As for the crystal system: tetragonal.

---

Entry 2:
Computed, not measured: Tm2US3 after structural relaxation at the GGA-PBE level of DFT.

It has space group C2/m (No. 12), with a = 6.635 Å, b = 11.505 Å, c = 6.739 Å, α = 90.00°, β = 109.20° and γ = 90.00°. The asymmetric unit holds Tm at (0.000, 0.000, 0.000), Tm at (0.000, 0.166, 0.500), Tm at (0.000, 0.500, 0.500), U at (0.000, 0.334, 0.000), S at (0.246, 0.000, 0.745) and S at (0.250, 0.165, 0.255).

Its volume is 20.24 Å³ per atom. The calculation puts the uncorrected formation energy at -1.7262 eV/atom. Its total energy is -42.970 eV per formula unit. As for the crystal system: monoclinic.

---

Entry 3:
Computed, not measured: As2Rh2Pb after structural relaxation at the GGA-PBE level of DFT.

It has space group P4/mbm (No. 127), with a = 7.744 Å, b = 7.744 Å, c = 3.075 Å, α = 90.00°, β = 90.00° and γ = 90.00°. The asymmetric unit holds As at (0.139, 0.361, 0.000), Rh at (0.131, 0.631, 0.500) and Pb at (0.000, 0.000, 0.500).

Its volume is 18.44 Å³ per atom. The calculation puts the formation energy at -0.6 eV/f.u. Its total energy is -28.273 eV per formula unit. The distance to the lowest polymorph of the same formula comes out at 0.99 eV per formula unit. As for the crystal system: tetragonal.

---

Entry 4:
Computed, not measured: HfAg3Se after structural relaxation at the GGA-PBE level of DFT.

It has space group Pm-3m (No. 221), with a = 5.253 Å, b = 5.253 Å, c = 5.253 Å, α = 90.00°, β = 90.00° and γ = 90.00°. The asymmetric unit holds Hf at (0.000, 0.000, 0.000), Ag at (0.000, 0.000, 0.500) and Se at (0.500, 0.500, 0.500).

Its volume is 28.99 Å³ per atom. The calculation puts the uncorrected formation energy at 1.2720 eV/atom. Its total energy is -15.632 eV per formula unit. The distance to the lowest polymorph of the same formula comes out at 2.09 eV per formula unit. As for the crystal system: cubic.

---

Entry 5:
Computed, not measured: LaIr2Ru after structural relaxation at the GGA-PBE level of DFT.

It has space group P4/mmm (No. 123), with a = 4.132 Å, b = 4.132 Å, c = 4.165 Å, α = 90.00°, β = 90.00° and γ = 90.00°. The asymmetric unit holds La at (0.000, 0.000, 0.000), Ir at (0.000, 0.500, 0.500) and Ru at (0.500, 0.500, 0.000).

Its volume is 17.78 Å³ per atom. The calculation puts the formation energy at 0.0 eV/f.u. Its total energy is -31.882 eV per formula unit. The distance to the lowest polymorph of the same formula comes out at 0.01 eV per formula unit. As for the crystal system: tetragonal.

---

Entry 6:
Computed, not measured: CaSmAgPd after structural relaxation at the GGA-PBE level of DFT.

It has space group F-43m (No. 216), with a = 7.248 Å, b = 7.248 Å, c = 7.248 Å, α = 90.00°, β = 90.00° and γ = 90.00°. The asymmetric unit holds Ca at (0.000, 0.000, 0.000), Sm at (0.000, 0.000, 0.500), Ag at (0.250, 0.250, 0.750) and Pd at (0.250, 0.250, 0.250).

Its volume is 23.80 Å³ per atom. The calculation puts the formation energy at -2.1 eV/f.u. Its total energy is -16.819 eV per formula unit. As for the crystal system: cubic.

---

Entry 7:
Computed, not measured: CaAgBiRh after structural relaxation at the GGA-PBE level of DFT.

It has space group F-43m (No. 216), with a = 7.001 Å, b = 7.001 Å, c = 7.001 Å, α = 90.00°, β = 90.00° and γ = 90.00°. The asymmetric unit holds Ca at (0.000, 0.000, 0.000), Ag at (0.250, 0.250, 0.750), Bi at (0.000, 0.000, 0.500) and Rh at (0.250, 0.250, 0.250).

Its volume is 21.44 Å³ per atom. The calculation puts the formation energy at -1.0 eV/f.u. Its total energy is -17.070 eV per formula unit. As for the crystal system: cubic.

---

Entry 8:
Computed, not measured: LuMgInIr after structural relaxation at the GGA-PBE level of DFT.

It has space group F-43m (No. 216), with a = 6.810 Å, b = 6.810 Å, c = 6.810 Å, α = 90.00°, β = 90.00° and γ = 90.00°. The asymmetric unit holds Lu at (0.000, 0.000, 0.000), Mg at (0.000, 0.000, 0.500), In at (0.250, 0.250, 0.250) and Ir at (0.250, 0.250, 0.750).

Its volume is 19.74 Å³ per atom. The calculation puts the formation energy at -1.7 eV/f.u. Its total energy is -19.368 eV per formula unit. As for the crystal system: cubic.

---

- What is the formula in the first record?
  Y2MnTcAg